Version i
First-principles (PBE-GGA) data for crystalline ReI2O2 at its relaxed geometry, as listed in the Alexandria database.

abc: 5.4352 5.4352 3.7326
angles: 90.00 90.00 90.00
Fractional coordinates of all 5 atoms:
I (0.0000, 0.5000, 0.0000)
I (0.5000, 0.0000, 0.0000)
Re (0.0000, 0.0000, 0.0000)
O (0.5000, 0.5000, 0.5000)
O (0.0000, 0.0000, 0.5000)

=====

Version ii
First-principles (PBE-GGA) data for crystalline ReI2O2 at its relaxed geometry, as listed in the Alexandria database.

abc: 4.0688 4.0688 5.8341
angles: 90.00 90.00 90.00
Fractional coordinates of all 5 atoms:
I (0.5000, 0.5000, 0.5000)
I (0.0000, 0.0000, 0.5000)
Re (0.0000, 0.0000, 0.0000)
O (0.0000, 0.5000, 0.0000)
O (0.5000, 0.0000, 0.0000)

=====

Here is how they stack up, most stable first: version ii, version i.

=====

Version i
First-principles (PBE-GGA) data for crystalline ReRhIO2 at its relaxed geometry, as listed in the Alexandria database.

abc: 3.7830 3.7830 6.0606
angles: 90.00 90.00 90.00
Fractional coordinates of all 5 atoms:
I (0.0000, 0.0000, 0.5000)
Re (0.0000, 0.0000, 0.0000)
Rh (0.5000, 0.5000, 0.5000)
O (0.0000, 0.5000, 0.0000)
O (0.5000, 0.0000, 0.0000)

=====

Version ii
First-principles (PBE-GGA) data for crystalline ReRhIO2 at its relaxed geometry, as listed in the Alexandria database.

abc: 3.8142 3.8142 7.3616
angles: 90.00 90.00 90.00
Fractional coordinates of all 5 atoms:
I (0.0000, 0.0000, 0.5000)
Re (0.5000, 0.5000, 0.5000)
Rh (0.0000, 0.0000, 0.0000)
O (0.0000, 0.5000, 0.0000)
O (0.5000, 0.0000, 0.0000)

=====

Here is how they stack up, most stable first: version i, version ii.